Record 1
! Sm2IrAu, relaxed, DFT PBE; values from VASP
&SYSTEM
  ibrav = 0, nat = 8, ntyp = 3
/
ATOMIC_SPECIES
Sm 150.36 Sm.upf
Ir 192.22 Ir.upf
Au 196.97 Au.upf
CELL_PARAMETERS angstrom
-0.0408 0.7791 4.4409
-3.0684 -4.8887 0.8295
7.7073 -1.4493 0.3252
ATOMIC_POSITIONS angstrom
Sm 2.7000 -1.0900 3.6495
Sm 1.8980 -4.4689 1.9460
Sm -1.7584 -3.6570 1.7699
Sm 6.3564 -1.9019 3.8256
Ir 0.1479 -3.1097 3.9804
Ir 4.4501 -2.4491 1.6151
Au 0.6150 -1.6800 1.4449
Au 3.9830 -3.8789 4.1506
! Formation energy from the elements in eV/atom: -0.79

---

Record 2
! Sm5IrAu4, relaxed, DFT PBE; values from VASP
&SYSTEM
  ibrav = 0, nat = 10, ntyp = 3
/
ATOMIC_SPECIES
Sm 150.36 Sm.upf
Ir 192.22 Ir.upf
Au 196.97 Au.upf
CELL_PARAMETERS angstrom
-0.9836 3.3706 -0.8941
-2.7977 -1.3173 -1.8884
-10.5599 0.9014 15.0159
ATOMIC_POSITIONS angstrom
Sm -2.8489 1.1085 -0.0286
Sm -5.0144 1.2933 3.0507
Sm -7.1706 1.4774 6.1167
Sm -9.3268 1.6614 9.1828
Sm -11.4923 1.8463 12.2620
Ir 0.0000 0.0000 0.0000
Au -2.0744 0.1771 2.9497
Au -4.2097 0.3594 5.9861
Au -6.3502 0.5421 9.0298
Au -8.4855 0.7244 12.0662
! Formation energy from the elements in eV/atom: -0.77